w) Here is ZrZnSe after structural relaxation from Alexandria. Energies are from PBE.

Volume   22.6 A^3/atom
Symmetry   F-43m, No. 216

```
ZrZnSe
1.0
4.575 0.000 0.000
2.288 3.962 0.000
2.288 1.321 3.736
Se Zn Zr
1 1 1
direct
0.000 0.000 0.000
0.500 0.500 0.500
0.750 0.750 0.750
```

=====

x) Here is ZrZnSe after structural relaxation from Alexandria. Energies are from PBE.

Volume   22.0 A^3/atom
Symmetry   F-43m, No. 216

```
ZrZnSe
1.0
4.533 0.000 0.000
2.267 3.926 0.000
2.267 1.309 3.701
Se Zn Zr
1 1 1
direct
0.500 0.500 0.500
0.750 0.750 0.750
0.000 0.000 0.000
```

=====

Relative to the most stable one, in meV/atom, the structures come out at w) 0; x) 334.

=====

w) Here is ZrZnSe3 after structural relaxation from Alexandria. Energies are from PBE.

Volume   22.6 A^3/atom
Symmetry   Pm-3m, No. 221

```
ZrZnSe3
1.0
4.838 0.000 0.000
0.000 4.838 0.000
0.000 0.000 4.838
Zn Se Zr
1 3 1
direct
0.000 0.000 0.000
0.000 0.500 0.000
0.000 0.000 0.500
0.500 0.000 0.000
0.500 0.500 0.500
```

=====

x) Here is ZrZnSe3 after structural relaxation from Alexandria. Energies are from PBE.

Volume   28.7 A^3/atom
Symmetry   Pm-3m, No. 221

```
ZrZnSe3
1.0
-3.320 3.268 2.386
-3.590 -0.956 -3.687
-1.867 -3.975 2.848
Zn Se Zr
1 3 1
direct
0.500 0.500 0.500
0.000 0.500 0.000
0.000 0.000 0.500
0.500 0.000 0.000
0.000 0.000 0.000
```

=====

Relative to the most stable one, in meV/atom, the structures come out at w) 395; x) 0.

=====

w) Here is Zr3Se after structural relaxation from Alexandria. Energies are from PBE.

Volume   22.2 A^3/atom
Symmetry   P-6m2, No. 187

```
Zr3Se
1.0
-1.778 2.875 0.130
-1.143 -2.769 1.572
4.407 2.389 7.416
Se Zr
1 3
direct
0.000 0.000 0.000
0.000 0.000 0.500
0.667 0.333 0.220
0.667 0.333 0.780
```

=====

x) Here is Zr3Se after structural relaxation from Alexandria. Energies are from PBE.

Volume   21.7 A^3/atom
Symmetry   Immm, No. 71

```
Zr3Se
1.0
5.832 -0.001 -0.003
2.489 5.274 0.003
-3.444 -3.767 2.822
Se Zr
1 3
direct
0.000 0.000 0.000
0.768 0.268 0.500
0.500 0.500 0.000
0.232 0.732 0.500
```

=====

Relative to the most stable one, in meV/atom, the structures come out at w) 0; x) 229.

=====

w) Here is Zr3Se after structural relaxation from Alexandria. Energies are from PBE.

Volume   20.8 A^3/atom
Symmetry   Pm-3n, No. 223

```
Zr3Se
1.0
-5.078 1.874 0.965
-0.472 -3.464 4.243
2.054 3.836 3.361
Zr Se
6 2
direct
0.750 0.500 0.000
0.250 0.500 0.000
0.000 0.750 0.500
0.000 0.250 0.500
0.500 0.000 0.250
0.500 0.000 0.750
0.000 0.000 0.000
0.500 0.500 0.500
```

=====

x) Here is Zr3Se after structural relaxation from Alexandria. Energies are from PBE.

Volume   21.9 A^3/atom
Symmetry   P4/mmm, No. 123

```
Zr3Se
1.0
3.313 0.000 0.000
0.000 3.313 0.000
0.000 0.000 7.968
Se Zr
1 3
direct
0.000 0.000 0.000
0.500 0.500 0.776
0.000 0.000 0.500
0.500 0.500 0.224
```

=====

y) Here is Zr3Se after structural relaxation from Alexandria. Energies are from PBE.

Volume   21.1 A^3/atom
Symmetry   I4/mmm, No. 139

```
Zr3Se
1.0
-3.159 3.819 2.747
-5.019 -1.740 1.973
5.363 -1.821 0.191
Se Zr
1 3
direct
0.000 0.000 0.000
0.250 0.750 0.500
0.500 0.500 0.000
0.750 0.250 0.500
```

=====

Relative to the most stable one, in meV/atom, the structures come out at w) 116; x) 0; y) 197.